# 1
# PBE Na3PbSe3, optimized geometry
data_Na3PbSe3
_cell_length_a 8.071
_cell_length_b 8.071
_cell_length_c 7.374
_cell_angle_alpha 93.20
_cell_angle_beta 93.20
_cell_angle_gamma 116.28
_symmetry_space_group_name_H-M 'P 1'
_symmetry_Int_Tables_number 1
_symmetry_space_group_name_Hall 'P 1'
loop_
_atom_site_label
_atom_site_type_symbol
_atom_site_fract_x
_atom_site_fract_y
_atom_site_fract_z
_atom_site_occupancy
Na1 Na 0.610 0.610 0.367 1
Na2 Na 0.196 0.804 0.500 1
Na3 Na 0.804 0.196 0.500 1
Na4 Na 0.254 0.746 0.000 1
Na5 Na 0.746 0.254 0.000 1
Na6 Na 0.390 0.390 0.633 1
Pb1 Pb 0.803 0.803 0.903 1
Pb2 Pb 0.197 0.197 0.097 1
Se1 Se 0.940 0.940 0.334 1
Se2 Se 0.811 0.505 0.724 1
Se3 Se 0.505 0.811 0.724 1
Se4 Se 0.189 0.495 0.276 1
Se5 Se 0.495 0.189 0.276 1
Se6 Se 0.060 0.060 0.666 1
# energy relative to the elements, uncorrected: -17.1 kcal/mol of atoms
# calculated volume: 214 Å³/f.u.



# 2
# PBE Na3PbSe3, optimized geometry
data_Na3PbSe3
_cell_length_a 8.316
_cell_length_b 8.316
_cell_length_c 8.316
_cell_angle_alpha 59.84
_cell_angle_beta 59.84
_cell_angle_gamma 59.84
_symmetry_space_group_name_H-M 'P 1'
_symmetry_Int_Tables_number 1
_symmetry_space_group_name_Hall 'P 1'
loop_
_atom_site_label
_atom_site_type_symbol
_atom_site_fract_x
_atom_site_fract_y
_atom_site_fract_z
_atom_site_occupancy
Na1 Na 0.821 0.380 0.122 1
Na2 Na 0.122 0.821 0.380 1
Na3 Na 0.380 0.122 0.821 1
Na4 Na 0.620 0.878 0.179 1
Na5 Na 0.878 0.179 0.620 1
Na6 Na 0.179 0.620 0.878 1
Pb1 Pb 0.331 0.331 0.331 1
Pb2 Pb 0.669 0.669 0.669 1
Se1 Se 0.532 0.292 0.937 1
Se2 Se 0.292 0.937 0.532 1
Se3 Se 0.937 0.532 0.292 1
Se4 Se 0.063 0.468 0.708 1
Se5 Se 0.708 0.063 0.468 1
Se6 Se 0.468 0.708 0.063 1
# energy relative to the elements, uncorrected: -17.0 kcal/mol of atoms
# calculated volume: 203 Å³/f.u.



# 3
# PBE Na2SiPbSe, optimized geometry
data_Na2SiPbSe
_cell_length_a 5.168
_cell_length_b 6.062
_cell_length_c 5.168
_cell_angle_alpha 90.00
_cell_angle_beta 90.00
_cell_angle_gamma 90.00
_symmetry_space_group_name_H-M 'P 1'
_symmetry_Int_Tables_number 1
_symmetry_space_group_name_Hall 'P 1'
loop_
_atom_site_label
_atom_site_type_symbol
_atom_site_fract_x
_atom_site_fract_y
_atom_site_fract_z
_atom_site_occupancy
Pb1 Pb 0.000 0.500 0.000 1
Na1 Na 0.000 0.000 0.500 1
Na2 Na 0.500 0.000 0.000 1
Si1 Si 0.500 0.500 0.500 1
Se1 Se 0.000 0.000 0.000 1
# energy relative to the elements, uncorrected: 2.7 kcal/mol of atoms
# calculated volume: 162 Å³/f.u.



# 4
# PBE Na2SiPbSe4, optimized geometry
data_Na2SiPbSe4
_cell_length_a 8.359
_cell_length_b 8.359
_cell_length_c 8.458
_cell_angle_alpha 120.39
_cell_angle_beta 120.39
_cell_angle_gamma 92.09
_symmetry_space_group_name_H-M 'P 1'
_symmetry_Int_Tables_number 1
_symmetry_space_group_name_Hall 'P 1'
loop_
_atom_site_label
_atom_site_type_symbol
_atom_site_fract_x
_atom_site_fract_y
_atom_site_fract_z
_atom_site_occupancy
Na1 Na 0.500 0.000 0.000 1
Na2 Na 0.500 0.000 0.500 1
Na3 Na 0.000 0.000 0.500 1
Na4 Na 0.500 0.500 0.000 1
Si1 Si 0.500 0.500 0.500 1
Si2 Si 0.000 0.000 0.000 1
Pb1 Pb 0.000 0.500 0.000 1
Pb2 Pb 0.000 0.500 0.500 1
Se1 Se 0.212 0.811 0.012 1
Se2 Se 0.689 0.288 0.488 1
Se3 Se 0.311 0.712 0.512 1
Se4 Se 0.788 0.189 0.988 1
Se5 Se 0.747 0.753 0.961 1
Se6 Se 0.747 0.753 0.539 1
Se7 Se 0.253 0.247 0.461 1
Se8 Se 0.253 0.247 0.039 1
# energy relative to the elements, uncorrected: -13.0 kcal/mol of atoms
# calculated volume: 202 Å³/f.u.



Q: Among the records above, which one has the lowest energy relative to the elements, uncorrected?
A: number 1



Q: Among the records above, which one has the highest calculated volume?
A: number 1



Q: What is the energy relative to the elements, uncorrected in the third record?
A: 2.7 kcal/mol of atoms



Q: What is the formula in the first record?
A: Na3PbSe3